A plane-wave DFT calculation with PBE-GGA was carried out for a relaxed structure of Cs3Bi2Pb5.

a b c (Å): 7.8724 11.3871 11.3871
angles (deg): 71.28 69.78 69.78
Closest atoms and distances in Å follow each position.
Positions (direct):
1 Pb 0.4781 0.2719 0.2719  2 Bi 3.22, 2 Pb 3.31
2 Pb 0.6127 0.2498 0.5248  1 Bi 3.17, 4 Pb 3.28-3.31
3 Pb 0.5219 0.7281 0.7281  2 Bi 3.22, 2 Pb 3.31
4 Pb 0.1127 0.5248 0.2498  1 Bi 3.17, 4 Pb 3.28-3.31
5 Pb 0.2500 0.5000 0.5000  4 Pb 3.28
6 Pb 0.0219 0.7281 0.7281  2 Bi 3.22, 2 Pb 3.31
7 Pb 0.9781 0.2719 0.2719  2 Bi 3.22, 2 Pb 3.31
8 Pb 0.3873 0.7502 0.4752  1 Bi 3.17, 4 Pb 3.28-3.31
9 Pb 0.7500 0.5000 0.5000  4 Pb 3.28
10 Pb 0.8873 0.4752 0.7502  1 Bi 3.17, 4 Pb 3.28-3.31
11 Cs 0.7500 0.0000 0.0000  4 Bi 3.77, 2 Cs 3.94
12 Cs 0.8693 0.8833 0.3781  3 Bi 3.84-4.26, 4 Pb 4.22-4.23
13 Cs 0.2500 0.0000 0.0000  4 Bi 3.77, 2 Cs 3.94
14 Cs 0.1307 0.1167 0.6219  3 Bi 3.84-4.26, 4 Pb 4.22-4.23
15 Cs 0.3693 0.3781 0.8833  3 Bi 3.84-4.26, 4 Pb 4.22-4.23
16 Cs 0.6307 0.6219 0.1167  3 Bi 3.84-4.26, 4 Pb 4.22-4.23
17 Bi 0.8389 0.2925 0.0296  3 Pb 3.17-3.22
18 Bi 0.3389 0.0296 0.2925  3 Pb 3.17-3.22
19 Bi 0.6611 0.9704 0.7075  3 Pb 3.17-3.22
20 Bi 0.1611 0.7075 0.9704  3 Pb 3.17-3.22

## Properties
**E_tot**: -3.07 eV/atom
**Magnetization**: 0.00 μB/f.u.

---

A plane-wave DFT calculation with PBE-GGA was carried out for a relaxed structure of Y2ZnIr.

a b c (Å): 3.5591 3.4292 7.8771
angles (deg): 64.16 90.00 90.00
Closest atoms and distances in Å follow each position.
Positions (direct):
1 Y 0.0000 0.0135 0.9860  4 Ir 2.98, 4 Zn 3.10
2 Y 0.0000 0.4865 0.5140  4 Ir 2.98, 4 Zn 3.10
3 Zn 0.5000 0.2500 0.2500  8 Y 3.10, 2 Zn 3.43
4 Ir 0.5000 0.7500 0.7500  8 Y 2.98

## Properties
**E_tot**: -6.37 eV/atom
**Magnetization**: 0.00 μB/f.u.

---

A plane-wave DFT calculation with PBE-GGA was carried out for a relaxed structure of NaPmZn2Au2.

a b c (Å): 4.5907 4.5907 6.9262
angles (deg): 90.00 90.00 120.00
Closest atoms and distances in Å follow each position.
Positions (direct):
1 Au 0.6667 0.3333 0.2554  3 Zn 2.66
2 Au 0.3333 0.6667 0.7446  3 Zn 2.66
3 Zn 0.3333 0.6667 0.2802  3 Au 2.66
4 Zn 0.6667 0.3333 0.7198  3 Au 2.66
5 Pm 0.0000 0.0000 0.0000  6 Au 3.19, 6 Zn 3.29, 2 Na 3.46
6 Na 0.0000 0.0000 0.5000  6 Zn 3.06, 6 Au 3.15

## Properties
**E_tot**: -2.98 eV/atom
**Magnetization**: 0.00 μB/f.u.

---

Which value of E_tot does entry 3 give?
-2.98 eV/atom

---

Repeat the third record exactly.
A plane-wave DFT calculation with PBE-GGA was carried out for a relaxed structure of NaPmZn2Au2.

a b c (Å): 4.5907 4.5907 6.9262
angles (deg): 90.00 90.00 120.00
Closest atoms and distances in Å follow each position.
Positions (direct):
1 Au 0.6667 0.3333 0.2554  3 Zn 2.66
2 Au 0.3333 0.6667 0.7446  3 Zn 2.66
3 Zn 0.3333 0.6667 0.2802  3 Au 2.66
4 Zn 0.6667 0.3333 0.7198  3 Au 2.66
5 Pm 0.0000 0.0000 0.0000  6 Au 3.19, 6 Zn 3.29, 2 Na 3.46
6 Na 0.0000 0.0000 0.5000  6 Zn 3.06, 6 Au 3.15

## Properties
**E_tot**: -2.98 eV/atom
**Magnetization**: 0.00 μB/f.u.